Run one
The following is a PBE calculation of crystalline MnRh3W at its relaxed geometry, from Alexandria via LeMat-Bulk.

a = 4.7257 Å, b = 5.4645 Å, c = 6.0814 Å
α = 76.88°, β = 75.24°, γ = 72.30°
With the nearest neighbours (Å) after each atom.
Sites, in units of the cell vectors:
Mn 0.0988 0.3982 0.3023  8 Rh 2.63-2.73, 1 Mn 2.71, 3 W 2.76
Mn 0.9012 0.6018 0.6977  8 Rh 2.63-2.73, 1 Mn 2.71, 3 W 2.76
Rh 0.0985 0.8996 0.2957  2 W 2.64, 7 Rh 2.71-2.77, 3 Mn 2.73
Rh 0.2919 0.2192 0.9004  2 Mn 2.63-2.68, 4 W 2.67-2.75, 6 Rh 2.69-2.85
Rh 0.5000 0.0000 0.5000  2 Mn 2.69, 2 W 2.72, 8 Rh 2.72-2.78
Rh 0.5000 0.5000 0.5000  6 Rh 2.69-2.73, 4 Mn 2.72-2.73, 2 W 2.78
Rh 0.7081 0.7808 0.0996  2 Mn 2.63-2.68, 4 W 2.67-2.75, 6 Rh 2.69-2.85
Rh 0.9015 0.1004 0.7043  2 W 2.64, 7 Rh 2.71-2.77, 3 Mn 2.73
W 0.2946 0.7139 0.9040  8 Rh 2.64-2.78, 3 Mn 2.76, 1 W 2.78
W 0.7054 0.2861 0.0960  8 Rh 2.64-2.78, 3 Mn 2.76, 1 W 2.78

Summary:
- M_tot (μB/f.u.) = 2.67
- D(E_F) (states/eV per atom) = 0.99


Run two
The following is a PBE calculation of crystalline MnRh3W at its relaxed geometry, from Alexandria via LeMat-Bulk.

a = 4.6916 Å, b = 4.6916 Å, c = 4.6916 Å
α = 90.00°, β = 90.00°, γ = 90.00°
With the nearest neighbours (Å) after each atom.
Sites, in units of the cell vectors:
Mn 0.0000 0.0000 0.0000  12 Rh 3.32
Rh 0.0000 0.5000 0.5000  2 W 2.35
Rh 0.5000 0.0000 0.5000  2 W 2.35
Rh 0.5000 0.5000 0.0000  2 W 2.35
W 0.5000 0.5000 0.5000  6 Rh 2.35

Summary:
- M_tot (μB/f.u.) = 4.81
- D(E_F) (states/eV per atom) = 0.74


Least stable: run two